{"formula": "BaPrRh", "functional": "PBE", "state": "relaxed", "cell": [[4.303, 0.000, -0.001], [2.151, 3.677, 0.608], [-0.012, 0.187, 14.163]], "species": ["Rh", "Rh", "Pr", "Pr", "Ba", "Ba"], "fractional_positions": [[0.284, 0.304, 0.999], [0.429, 0.013, 0.434], [0.729, 0.412, 0.336], [0.984, 0.905, 0.097], [0.571, 0.729, 0.863], [0.142, 0.589, 0.570]], "delta_e_f_ev_per_atom": -0.319, "space_group": "No. 2", "polymorph_energy_ev_per_fu": 0.07, "magnetic_moment_mub_per_fu": 0.0}